CsTcS3: optimized geometry, PBE.

Unit cell a=4.809 b=4.809 c=4.809 alpha=90.00 beta=90.00 gamma=90.00
Sites, in units of the cell vectors:
1 S 0.000 0.500 0.000
2 Cs 0.500 0.500 0.500
3 S 0.500 0.000 0.000
4 S 0.000 0.000 0.500
5 Tc 0.000 0.000 0.000

Results
Formation energy (no corrections) ... -0.288 eV per atom
Mass density ... 4.9 g/cm³

CsTiTc2S: optimized geometry, PBE.

Unit cell a=4.447 b=5.877 c=4.447 alpha=90.00 beta=90.00 gamma=90.00
Site moments in Bohr magnetons follow the coordinates.
Sites, in units of the cell vectors:
1 Ti 0.500 0.500 0.500  1.87
2 Cs 0.000 0.500 0.000  0.08
3 Tc 0.000 0.000 0.500  -0.99
4 S 0.000 0.000 0.000  0.04
5 Tc 0.500 0.000 0.000  -1.05

Results
Formation energy (no corrections) ... 1.178 eV per atom
Mass density ... 5.8 g/cm³